Entry 1:
Computed, not measured: GaCu2O after structural relaxation at the PBE level of DFT.

abc: 4.096 4.096 4.096
angles: 60.00 60.00 60.00
Atoms (fractional coordinates):
Ga (0.000, 0.000, 0.000)
Cu (0.250, 0.250, 0.250)
Cu (0.750, 0.750, 0.750)
O (0.500, 0.500, 0.500)

Summary:
E (eV/atom): -3.949
Calculated volume (Å³/atom): 12.147
Space group: Fm-3m

***

Entry 2:
Computed, not measured: Ga3CuO after structural relaxation at the PBE level of DFT.

abc: 4.531 4.531 4.531
angles: 90.00 90.00 90.00
Atoms (fractional coordinates):
Ga (0.000, 0.000, 0.500)
Ga (0.000, 0.500, 0.000)
Ga (0.500, 0.000, 0.000)
Cu (0.000, 0.000, 0.000)
O (0.500, 0.500, 0.500)

Summary:
E (eV/atom): -3.392
Calculated volume (Å³/atom): 18.601
Space group: Pm-3m

***

Entry 3:
Computed, not measured: Ga3CuO after structural relaxation at the PBE level of DFT.

abc: 4.350 4.350 4.350
angles: 90.00 90.00 90.00
Atoms (fractional coordinates):
Ga (0.000, 0.000, 0.500)
Ga (0.000, 0.500, 0.000)
Ga (0.500, 0.000, 0.000)
Cu (0.500, 0.500, 0.500)
O (0.000, 0.000, 0.000)

Summary:
E (eV/atom): -3.640
Calculated volume (Å³/atom): 16.467
Space group: Pm-3m

***

Entry 4:
Computed, not measured: GaCu2P2O6 after structural relaxation at the PBE level of DFT.

abc: 4.859 4.859 6.337
angles: 90.00 90.00 120.00
Atoms (fractional coordinates):
Ga (0.000, 0.000, 0.000)
Cu (0.333, 0.667, 0.618)
Cu (0.667, 0.333, 0.382)
P (0.333, 0.667, 0.273)
P (0.667, 0.333, 0.727)
O (0.042, 0.351, 0.187)
O (0.309, 0.958, 0.187)
O (0.351, 0.309, 0.813)
O (0.649, 0.691, 0.187)
O (0.691, 0.042, 0.813)
O (0.958, 0.649, 0.813)

Summary:
E (eV/atom): -6.146
Calculated volume (Å³/atom): 11.781
Space group: P-3

***

Entry 5:
Computed, not measured: Ga2CuPO after structural relaxation at the PBE level of DFT.

abc: 4.955 4.955 3.463
angles: 90.00 90.00 90.00
Atoms (fractional coordinates):
Ga (0.000, 0.500, 0.000)
Ga (0.500, 0.000, 0.000)
Cu (0.000, 0.000, 0.000)
P (0.500, 0.500, 0.500)
O (0.000, 0.000, 0.500)

Summary:
E (eV/atom): -3.989
Calculated volume (Å³/atom): 17.006
Space group: P4/mmm

***

Entry 6:
Computed, not measured: PaGaCu2O6 after structural relaxation at the PBE level of DFT.

abc: 5.923 5.923 4.154
angles: 90.00 90.00 90.00
Atoms (fractional coordinates):
Pa (0.000, 0.000, 0.000)
Ga (0.500, 0.500, 0.000)
Cu (0.000, 0.500, 0.007)
Cu (0.500, 0.000, 0.007)
O (0.000, 0.000, 0.500)
O (0.264, 0.264, 0.004)
O (0.264, 0.736, 0.004)
O (0.500, 0.500, 0.502)
O (0.736, 0.264, 0.004)
O (0.736, 0.736, 0.004)

Summary:
E (eV/atom): -6.635
Calculated volume (Å³/atom): 14.576
Space group: P4mm

***

What total moment values result from the calculations? In sequence: 0.000, 0.000, 0.000, 0.000, 0.000, 0.092 μB/atom.